No. 1
# DyScTe (PBE, relaxed)
# total moment	0.995	μB/cell
# formation energy (no corrections)	-0.872	eV/atom
data_DyScTe
_chemical_formula_sum 'Dy2 Sc2 Te2'
_cell_length_a 4.242
_cell_length_b 4.242
_cell_length_c 8.385
_cell_angle_alpha 90.00
_cell_angle_beta 90.00
_cell_angle_gamma 90.00
_symmetry_space_group_name_H-M 'P 4/n m m'
_symmetry_Int_Tables_number 129
loop_
_symmetry_equiv_pos_as_xyz
'x,y,z'
'-x,-y,-z'
'-y+1/2,x,z'
'y+1/2,-x,-z'
'-x+1/2,-y+1/2,z'
'x+1/2,y+1/2,-z'
'y,-x+1/2,z'
'-y,x+1/2,-z'
'x+1/2,-y,-z'
'-x+1/2,y,z'
'-y,-x,-z'
'y,x,z'
'-x,y+1/2,-z'
'x,-y+1/2,z'
'y+1/2,x+1/2,-z'
'-y+1/2,-x+1/2,z'
loop_
_atom_site_label
_atom_site_fract_x
_atom_site_fract_y
_atom_site_fract_z
Dy1 0.250 0.250 0.138
Sc1 0.250 0.750 0.500
Te1 0.250 0.250 0.760

***

No. 2
# DySc3Te6 (PBE, relaxed)
# total moment	0.000	μB/cell
# formation energy (no corrections)	-1.233	eV/atom
data_DySc3Te6
_chemical_formula_sum 'Dy2 Sc6 Te12'
_cell_length_a 12.061
_cell_length_b 4.192
_cell_length_c 12.328
_cell_angle_alpha 90.00
_cell_angle_beta 109.46
_cell_angle_gamma 90.00
_symmetry_space_group_name_H-M 'P 1 21/m 1'
_symmetry_Int_Tables_number 11
_symmetry_space_group_name_Hall '-P 2yb'
loop_
_atom_site_label
_atom_site_fract_x
_atom_site_fract_y
_atom_site_fract_z
Dy1 0.048 0.250 0.200
Sc1 0.156 0.250 0.582
Sc2 0.316 0.750 0.997
Sc3 0.436 0.250 0.338
Te1 0.083 0.750 0.406
Te2 0.116 0.250 0.969
Te3 0.198 0.750 0.749
Te4 0.262 0.750 0.224
Te5 0.391 0.250 0.561
Te6 0.479 0.250 0.117

***

No. 3
# Dy3ScTe6 (PBE, relaxed)
# total moment	0.000	μB/cell
# formation energy (no corrections)	-1.296	eV/atom
data_Dy3ScTe6
_chemical_formula_sum 'Dy18 Sc6 Te36'
_cell_length_a 12.6244
_cell_length_b 12.6244
_cell_length_c 15.3003
_cell_angle_alpha 90.00
_cell_angle_beta 90.00
_cell_angle_gamma 120.00
_symmetry_space_group_name_H-M 'R -3'
_symmetry_Int_Tables_number 148
_symmetry_space_group_name_Hall '-R 3'
loop_
_atom_site_label
_atom_site_fract_x
_atom_site_fract_y
_atom_site_fract_z
Dy1 0.0576 0.2753 0.1999
Sc1 0.0000 0.0000 0.0000
Sc2 0.0000 0.0000 0.5000
Te1 0.0149 0.2019 0.3945
Te2 0.0345 0.1948 0.8819

***

No. 4
# Dy2ScTe4 (PBE, relaxed)
# total moment	0.003	μB/cell
# formation energy (no corrections)	-1.335	eV/atom
data_Dy2ScTe4
_chemical_formula_sum 'Dy4 Sc2 Te8'
_cell_length_a 15.800
_cell_length_b 4.280
_cell_length_c 7.530
_cell_angle_alpha 90.00
_cell_angle_beta 118.32
_cell_angle_gamma 90.00
_symmetry_space_group_name_H-M 'C 1 2/m 1'
_symmetry_Int_Tables_number 12
_symmetry_space_group_name_Hall '-C 2y'
loop_
_atom_site_label
_atom_site_fract_x
_atom_site_fract_y
_atom_site_fract_z
Dy1 0.243 0.000 0.230
Sc1 0.000 0.500 0.500
Te1 0.114 0.500 0.940
Te2 0.123 0.000 0.462

***

No. 5
# DySc3Te2 (PBE, relaxed)
# total moment	0.004	μB/cell
# formation energy (no corrections)	-0.792	eV/atom
data_DySc3Te2
_chemical_formula_sum 'Dy4 Sc12 Te8'
_cell_length_a 15.125
_cell_length_b 4.046
_cell_length_c 11.344
_cell_angle_alpha 90.00
_cell_angle_beta 116.32
_cell_angle_gamma 90.00
_symmetry_space_group_name_H-M 'C 1 2/m 1'
_symmetry_Int_Tables_number 12
_symmetry_space_group_name_Hall '-C 2y'
loop_
_atom_site_label
_atom_site_fract_x
_atom_site_fract_y
_atom_site_fract_z
Dy1 0.134 0.000 0.062
Sc1 0.044 0.000 0.371
Sc2 0.120 0.500 0.604
Sc3 0.215 0.500 0.388
Te1 0.017 0.500 0.158
Te2 0.196 0.000 0.819

***

No. 6
# DySc2Te4 (PBE, relaxed)
# total moment	0.001	μB/cell
# formation energy (no corrections)	-1.281	eV/atom
data_DySc2Te4
_chemical_formula_sum 'Dy2 Sc4 Te8'
_cell_length_a 15.888
_cell_length_b 4.191
_cell_length_c 7.284
_cell_angle_alpha 90.00
_cell_angle_beta 116.92
_cell_angle_gamma 90.00
_symmetry_space_group_name_H-M 'C 1 2/m 1'
_symmetry_Int_Tables_number 12
_symmetry_space_group_name_Hall '-C 2y'
loop_
_atom_site_label
_atom_site_fract_x
_atom_site_fract_y
_atom_site_fract_z
Dy1 0.000 0.000 0.000
Sc1 0.247 0.500 0.727
Te1 0.125 0.000 0.464
Te2 0.135 0.500 0.966

***

No. 7
# DySc3Te3 (PBE, relaxed)
# total moment	4.157	μB/cell
# formation energy (no corrections)	-0.904	eV/atom
data_DySc3Te3
_chemical_formula_sum 'Dy6 Sc18 Te18'
_cell_length_a 8.6034
_cell_length_b 8.6034
_cell_length_c 17.3090
_cell_angle_alpha 90.00
_cell_angle_beta 90.00
_cell_angle_gamma 120.00
_symmetry_space_group_name_H-M 'R -3'
_symmetry_Int_Tables_number 148
_symmetry_space_group_name_Hall '-R 3'
loop_
_atom_site_label
_atom_site_fract_x
_atom_site_fract_y
_atom_site_fract_z
Dy1 0.0000 0.0000 0.1703
Sc1 0.0023 0.7564 0.4257
Te1 0.0011 0.6116 0.5900

***

No. 8
# DySc2Te3 (PBE, relaxed)
# total moment	0.001	μB/cell
# formation energy (no corrections)	-1.196	eV/atom
data_DySc2Te3
_chemical_formula_sum 'Dy6 Sc12 Te18'
_cell_length_a 7.2029
_cell_length_b 7.2029
_cell_length_c 21.7067
_cell_angle_alpha 90.00
_cell_angle_beta 90.00
_cell_angle_gamma 120.00
_symmetry_space_group_name_H-M 'R -3 c'
_symmetry_Int_Tables_number 167
_symmetry_space_group_name_Hall '-R 3 2"c'
loop_
_atom_site_label
_atom_site_fract_x
_atom_site_fract_y
_atom_site_fract_z
Dy1 0.0000 0.0000 0.0000
Sc1 0.0000 0.0000 0.1645
Te1 0.0000 0.3224 0.2500

***

No. 9
# Dy4ScTe2 (PBE, relaxed)
# total moment	0.000	μB/cell
# formation energy (no corrections)	-0.518	eV/atom
data_Dy4ScTe2
_chemical_formula_sum 'Dy12 Sc3 Te6'
_cell_length_a 5.3487
_cell_length_b 5.3487
_cell_length_c 26.0556
_cell_angle_alpha 90.00
_cell_angle_beta 90.00
_cell_angle_gamma 120.00
_symmetry_space_group_name_H-M 'R -3 m'
_symmetry_Int_Tables_number 166
_symmetry_space_group_name_Hall '-R 3 2"'
loop_
_atom_site_label
_atom_site_fract_x
_atom_site_fract_y
_atom_site_fract_z
Dy1 0.0000 0.0000 0.1336
Dy2 0.0000 0.0000 0.2658
Sc1 0.0000 0.0000 0.5000
Te1 0.0000 0.0000 0.3858

***

No. 10
# Dy2ScTe4 (PBE, relaxed)
# total moment	0.003	μB/cell
# formation energy (no corrections)	-1.242	eV/atom
data_Dy2ScTe4
_chemical_formula_sum 'Dy8 Sc4 Te16'
_cell_length_a 4.145
_cell_length_b 14.274
_cell_length_c 14.803
_cell_angle_alpha 90.00
_cell_angle_beta 90.00
_cell_angle_gamma 90.00
_symmetry_space_group_name_H-M 'C m c m'
_symmetry_Int_Tables_number 63
_symmetry_space_group_name_Hall '-C 2c 2'
loop_
_atom_site_label
_atom_site_fract_x
_atom_site_fract_y
_atom_site_fract_z
Dy1 0.000 0.132 0.074
Sc1 0.000 0.367 0.250
Te1 0.000 0.019 0.250
Te2 0.000 0.218 0.624
Te3 0.000 0.500 0.000

***

No. 11
# DySc2Te (PBE, relaxed)
# total moment	0.001	μB/cell
# formation energy (no corrections)	-0.492	eV/atom
data_DySc2Te
_chemical_formula_sum 'Dy1 Sc2 Te1'
_cell_length_a 3.746
_cell_length_b 3.746
_cell_length_c 7.191
_cell_angle_alpha 90.00
_cell_angle_beta 90.00
_cell_angle_gamma 90.00
_symmetry_space_group_name_H-M 'P 4/m m m'
_symmetry_Int_Tables_number 123
_symmetry_space_group_name_Hall '-P 4 2'
loop_
_atom_site_label
_atom_site_fract_x
_atom_site_fract_y
_atom_site_fract_z
Dy1 0.000 0.000 0.000
Sc1 0.500 0.500 0.277
Te1 0.000 0.000 0.500

***

No. 12
# Dy3ThSc2Te6 (PBE, relaxed)
# total moment	0.000	μB/cell
# formation energy (no corrections)	-1.160	eV/atom
data_Dy3ThSc2Te6
_chemical_formula_sum 'Dy6 Th2 Sc4 Te12'
_cell_length_a 18.621
_cell_length_b 4.249
_cell_length_c 8.770
_cell_angle_alpha 90.00
_cell_angle_beta 100.00
_cell_angle_gamma 90.00
_symmetry_space_group_name_H-M 'C 1 2/m 1'
_symmetry_Int_Tables_number 12
_symmetry_space_group_name_Hall '-C 2y'
loop_
_atom_site_label
_atom_site_fract_x
_atom_site_fract_y
_atom_site_fract_z
Dy1 0.000 0.000 0.000
Dy2 0.151 0.500 0.346
Th1 0.000 0.000 0.500
Sc1 0.167 0.500 0.843
Te1 0.011 0.500 0.766
Te2 0.170 0.000 0.089
Te3 0.177 0.000 0.610

***

No. 13
# DySc2Tl3Te6 (PBE, relaxed)
# total moment	0.000	μB/cell
# formation energy (no corrections)	-0.963	eV/atom
data_DySc2Tl3Te6
_chemical_formula_sum 'Dy2 Sc4 Tl6 Te12'
_cell_length_a 7.496
_cell_length_b 12.973
_cell_length_c 8.523
_cell_angle_alpha 90.00
_cell_angle_beta 107.05
_cell_angle_gamma 90.00
_symmetry_space_group_name_H-M 'C 1 2/m 1'
_symmetry_Int_Tables_number 12
_symmetry_space_group_name_Hall '-C 2y'
loop_
_atom_site_label
_atom_site_fract_x
_atom_site_fract_y
_atom_site_fract_z
Dy1 0.000 0.000 0.000
Sc1 0.000 0.333 0.000
Tl1 0.000 0.162 0.500
Tl2 0.000 0.500 0.500
Te1 0.223 0.500 0.204
Te2 0.242 0.173 0.207

***

No. 14
# Dy3ScTl3Te8 (PBE, relaxed)
# total moment	0.000	μB/cell
# formation energy (no corrections)	-1.022	eV/atom
data_Dy3ScTl3Te8
_chemical_formula_sum 'Dy6 Sc2 Tl6 Te16'
_cell_length_a 15.096
_cell_length_b 8.697
_cell_length_c 9.631
_cell_angle_alpha 90.00
_cell_angle_beta 121.54
_cell_angle_gamma 90.00
_symmetry_space_group_name_H-M 'C 1 2/m 1'
_symmetry_Int_Tables_number 12
_symmetry_space_group_name_Hall '-C 2y'
loop_
_atom_site_label
_atom_site_fract_x
_atom_site_fract_y
_atom_site_fract_z
Dy1 0.000 0.000 0.000
Dy2 0.250 0.250 0.000
Sc1 0.000 0.500 0.000
Tl1 0.000 0.500 0.500
Tl2 0.250 0.250 0.500
Te1 0.011 0.258 0.791
Te2 0.231 0.500 0.209
Te3 0.239 0.000 0.217

***

No. 15
# DyScTl2Te4 (PBE, relaxed)
# total moment	0.000	μB/cell
# formation energy (no corrections)	-0.982	eV/atom
data_DyScTl2Te4
_chemical_formula_sum 'Dy1 Sc1 Tl2 Te4'
_cell_length_a 7.552
_cell_length_b 4.360
_cell_length_c 8.535
_cell_angle_alpha 90.00
_cell_angle_beta 107.11
_cell_angle_gamma 90.00
_symmetry_space_group_name_H-M 'P 1 2/m 1'
_symmetry_Int_Tables_number 10
_symmetry_space_group_name_Hall '-P 2y'
loop_
_atom_site_label
_atom_site_fract_x
_atom_site_fract_y
_atom_site_fract_z
Dy1 0.000 0.000 0.000
Sc1 0.500 0.500 0.000
Tl1 0.000 0.500 0.500
Tl2 0.500 0.000 0.500
Te1 0.247 0.500 0.211
Te2 0.275 0.000 0.795

***

No. 16
# Dy2Tm3ScTe6 (PBE, relaxed)
# total moment	0.000	μB/cell
# formation energy (no corrections)	-1.192	eV/atom
data_Dy2Tm3ScTe6
_chemical_formula_sum 'Dy4 Tm6 Sc2 Te12'
_cell_length_a 18.738
_cell_length_b 4.281
_cell_length_c 8.633
_cell_angle_alpha 90.00
_cell_angle_beta 103.17
_cell_angle_gamma 90.00
_symmetry_space_group_name_H-M 'C 1 2/m 1'
_symmetry_Int_Tables_number 12
_symmetry_space_group_name_Hall '-C 2y'
loop_
_atom_site_label
_atom_site_fract_x
_atom_site_fract_y
_atom_site_fract_z
Dy1 0.168 0.000 0.333
Tm1 0.000 0.500 0.500
Tm2 0.173 0.000 0.836
Sc1 0.000 0.500 0.000
Te1 0.003 0.000 0.757
Te2 0.161 0.500 0.077
Te3 0.165 0.500 0.585

***

No. 17
# Dy2TmScTe6 (PBE, relaxed)
# total moment	0.000	μB/cell
# formation energy (no corrections)	-1.305	eV/atom
data_Dy2TmScTe6
_chemical_formula_sum 'Dy6 Tm3 Sc3 Te18'
_cell_length_a 7.5748
_cell_length_b 7.5748
_cell_length_c 20.7206
_cell_angle_alpha 90.00
_cell_angle_beta 90.00
_cell_angle_gamma 120.00
_symmetry_space_group_name_H-M 'R 3'
_symmetry_Int_Tables_number 146
_symmetry_space_group_name_Hall 'R 3'
loop_
_atom_site_label
_atom_site_fract_x
_atom_site_fract_y
_atom_site_fract_z
Dy1 0.0000 0.0000 0.0000
Dy2 0.0000 0.0000 0.4987
Tm1 0.0000 0.0000 0.1843
Sc1 0.0000 0.0000 0.6829
Te1 0.0231 0.3374 0.7601
Te2 0.0283 0.6776 0.2624

***

No. 18
# Dy2TmScTe4 (PBE, relaxed)
# total moment	0.001	μB/cell
# formation energy (no corrections)	-1.203	eV/atom
data_Dy2TmScTe4
_chemical_formula_sum 'Dy2 Tm1 Sc1 Te4'
_cell_length_a 7.454
_cell_length_b 4.255
_cell_length_c 7.483
_cell_angle_alpha 90.00
_cell_angle_beta 108.95
_cell_angle_gamma 90.00
_symmetry_space_group_name_H-M 'P 1 2/m 1'
_symmetry_Int_Tables_number 10
_symmetry_space_group_name_Hall '-P 2y'
loop_
_atom_site_label
_atom_site_fract_x
_atom_site_fract_y
_atom_site_fract_z
Dy1 0.000 0.000 0.000
Dy2 0.500 0.500 0.000
Tm1 0.000 0.500 0.500
Sc1 0.500 0.000 0.500
Te1 0.252 0.000 0.742
Te2 0.258 0.500 0.261

***

No. 19
# Dy2TmSc3Te6 (PBE, relaxed)
# total moment	0.001	μB/cell
# formation energy (no corrections)	-1.171	eV/atom
data_Dy2TmSc3Te6
_chemical_formula_sum 'Dy4 Tm2 Sc6 Te12'
_cell_length_a 18.541
_cell_length_b 4.243
_cell_length_c 8.529
_cell_angle_alpha 90.00
_cell_angle_beta 103.27
_cell_angle_gamma 90.00
_symmetry_space_group_name_H-M 'C 1 2/m 1'
_symmetry_Int_Tables_number 12
_symmetry_space_group_name_Hall '-C 2y'
loop_
_atom_site_label
_atom_site_fract_x
_atom_site_fract_y
_atom_site_fract_z
Dy1 0.169 0.000 0.335
Tm1 0.000 0.500 0.000
Sc1 0.000 0.500 0.500
Sc2 0.169 0.000 0.832
Te1 0.003 0.000 0.746
Te2 0.162 0.500 0.590
Te3 0.168 0.500 0.073

***

No. 20
# Dy2TmScTe5 (PBE, relaxed)
# total moment	0.913	μB/cell
# formation energy (no corrections)	-0.609	eV/atom
data_Dy2TmScTe5
_chemical_formula_sum 'Dy2 Tm1 Sc1 Te5'
_cell_length_a 5.513
_cell_length_b 5.513
_cell_length_c 11.035
_cell_angle_alpha 90.00
_cell_angle_beta 90.00
_cell_angle_gamma 90.00
_symmetry_space_group_name_H-M 'P 4/m m m'
_symmetry_Int_Tables_number 123
_symmetry_space_group_name_Hall '-P 4 2'
loop_
_atom_site_label
_atom_site_fract_x
_atom_site_fract_y
_atom_site_fract_z
Dy1 0.000 0.000 0.165
Tm1 0.500 0.500 0.000
Sc1 0.500 0.500 0.500
Te1 0.000 0.000 0.500
Te2 0.000 0.500 0.000
Te3 0.500 0.500 0.260